Compound: ZnGa2CoGe
Source: the Alexandria database
Functional: SCAN
Structure: PBEsol geometry

Computed properties:
The calculation puts the energy of formation from the pure elements at 0.14 eV/atom. The calculation puts the density of states at the Fermi level at 0.31 states/eV/atom.

Cell lengths 4.377, 4.531, 4.531 Å; angles 90.00, 90.00, 90.00 degrees
Sites, in units of the cell vectors:
Ge (0.500, 0.000, 0.000)
Co (0.000, 0.000, 0.000)
Zn (0.500, 0.500, 0.500)
Ga (0.000, 0.000, 0.500)
Ga (0.000, 0.500, 0.000)

---

Compound: Zr6Ga2CoH10
Source: the Alexandria database
Functional: SCAN
Structure: PBEsol geometry

Computed properties:
The electronic total energy comes out at -14.6798 eV/atom. The calculation puts the density of states at the Fermi level at 0.24 states/eV/atom.

Cell lengths 7.082, 7.912, 7.912 Å; angles 120.00, 90.00, 90.00 degrees
Last column: magnetic moment on the atom in μB.
Sites, in units of the cell vectors:
Zr (0.000, 0.262, 0.262)  0.01
Zr (0.000, 0.000, 0.738)  0.01
Zr (0.500, 0.262, 0.262)  0.01
Zr (0.000, 0.738, 0.000)  0.01
Zr (0.500, 0.000, 0.738)  0.01
Zr (0.500, 0.738, 0.000)  0.01
Zr (0.750, 0.578, 0.623)  -0.01
Zr (0.750, 0.045, 0.422)  -0.01
Zr (0.250, 0.955, 0.377)  -0.01
Zr (0.750, 0.377, 0.955)  -0.01
Zr (0.250, 0.623, 0.578)  -0.01
Zr (0.250, 0.422, 0.045)  -0.01
Ga (0.953, 0.667, 0.333)  0.00
Ga (0.547, 0.667, 0.333)  0.00
Ga (0.047, 0.333, 0.667)  0.00
Ga (0.453, 0.333, 0.667)  0.00
Co (0.750, 0.000, 0.000)  0.89
Co (0.250, 0.000, 0.000)  0.89
H (0.000, 0.721, 0.721)  0.00
H (0.000, 0.000, 0.279)  0.00
H (0.500, 0.721, 0.721)  0.00
H (0.000, 0.279, 0.000)  0.00
H (0.500, 0.000, 0.279)  0.00
H (0.500, 0.279, 0.000)  0.00
H (0.750, 0.593, 0.885)  0.00
H (0.750, 0.293, 0.407)  0.00
H (0.250, 0.707, 0.115)  0.00
H (0.750, 0.115, 0.707)  0.00
H (0.250, 0.885, 0.593)  0.00
H (0.250, 0.407, 0.293)  0.00
H (0.750, 0.881, 0.120)  0.00
H (0.750, 0.239, 0.119)  0.00
H (0.250, 0.761, 0.880)  0.00
H (0.750, 0.880, 0.761)  0.00
H (0.250, 0.120, 0.881)  0.00
H (0.250, 0.119, 0.239)  0.00
H (0.000, 0.000, 0.000)  0.00
H (0.500, 0.000, 0.000)  0.00

---

Compound: Hf6Ga2Co
Source: the Alexandria database
Functional: SCAN
Structure: PBEsol geometry

Computed properties:
The calculation puts the energy of formation from the pure elements at -0.42 eV/atom. The calculation puts the density of states at the Fermi level at 1.10 states/eV/atom.

Cell lengths 3.283, 7.650, 7.650 Å; angles 120.00, 90.00, 90.00 degrees
Sites, in units of the cell vectors:
Co (0.500, 0.000, 0.000)
Hf (0.000, 0.000, 0.250)
Hf (0.000, 0.750, 0.750)
Hf (0.000, 0.250, 0.000)
Hf (0.500, 0.599, 0.000)
Hf (0.500, 0.401, 0.401)
Hf (0.500, 0.000, 0.599)
Ga (0.000, 0.667, 0.333)
Ga (0.000, 0.333, 0.667)

---

Compound: Hf2Ga3Co
Source: the Alexandria database
Functional: SCAN
Structure: PBEsol geometry

Computed properties:
The calculation puts the energy of formation from the pure elements at -0.50 eV/atom. The calculation puts the density of states at the Fermi level at 0.34 states/eV/atom.

Cell lengths 6.217, 7.577, 7.577 Å; angles 63.79, 66.77, 66.77 degrees
Sites, in units of the cell vectors:
Hf (0.069, 0.974, 0.459)
Hf (0.507, 0.037, 0.521)
Hf (0.507, 0.521, 0.037)
Hf (0.069, 0.459, 0.975)
Hf (0.958, 0.751, 0.243)
Hf (0.958, 0.243, 0.751)
Ga (0.173, 0.337, 0.337)
Ga (0.851, 0.657, 0.657)
Ga (0.172, 0.836, 0.836)
Ga (0.834, 0.157, 0.156)
Ga (0.467, 0.770, 0.246)
Ga (0.467, 0.246, 0.769)
Ga (0.721, 0.882, 0.882)
Ga (0.477, 0.624, 0.624)
Ga (0.722, 0.378, 0.378)
Co (0.266, 0.500, 0.500)
Co (0.242, 0.001, 0.001)
Co (0.481, 0.127, 0.127)

---

Compound: HfGa5Co
Source: the Alexandria database
Functional: SCAN
Structure: PBEsol geometry

Computed properties:
The calculation puts the energy of formation from the pure elements at -0.40 eV/atom. The calculation puts the density of states at the Fermi level at 0.28 states/eV/atom.

Cell lengths 4.070, 4.070, 6.526 Å; angles 90.00, 90.00, 90.00 degrees
Sites, in units of the cell vectors:
Hf (0.000, 0.000, 0.000)
Ga (0.000, 0.500, 0.303)
Ga (0.000, 0.500, 0.697)
Ga (0.500, 0.000, 0.303)
Ga (0.500, 0.000, 0.697)
Ga (0.500, 0.500, 0.000)
Co (0.000, 0.000, 0.500)

---

Compound: Hf6Ga16Co7
Source: the Alexandria database
Functional: SCAN
Structure: PBEsol geometry

Computed properties:
The calculation puts the energy of formation from the pure elements at -0.41 eV/atom. The calculation puts the density of states at the Fermi level at 0.83 states/eV/atom.

Cell lengths 8.371, 8.371, 8.371 Å; angles 60.00, 60.00, 60.00 degrees
Sites, in units of the cell vectors:
Hf (0.304, 0.304, 0.696)
Hf (0.696, 0.304, 0.696)
Hf (0.696, 0.304, 0.304)
Hf (0.696, 0.696, 0.304)
Hf (0.304, 0.696, 0.304)
Hf (0.304, 0.696, 0.696)
Ga (0.879, 0.362, 0.879)
Ga (0.879, 0.879, 0.362)
Ga (0.879, 0.879, 0.879)
Ga (0.362, 0.879, 0.879)
Ga (0.121, 0.638, 0.121)
Ga (0.121, 0.121, 0.638)
Ga (0.121, 0.121, 0.121)
Ga (0.638, 0.121, 0.121)
Ga (0.659, 0.022, 0.659)
Ga (0.659, 0.659, 0.022)
Ga (0.659, 0.659, 0.659)
Ga (0.022, 0.659, 0.659)
Ga (0.341, 0.978, 0.341)
Ga (0.341, 0.341, 0.978)
Ga (0.341, 0.341, 0.341)
Ga (0.978, 0.341, 0.341)
Co (0.000, 0.000, 0.000)
Co (0.500, 0.500, 0.000)
Co (0.000, 0.500, 0.000)
Co (0.000, 0.500, 0.500)
Co (0.000, 0.000, 0.500)
Co (0.500, 0.000, 0.500)
Co (0.500, 0.000, 0.000)

---

Compound: Hf2GaCoNi
Source: the Alexandria database
Functional: SCAN
Structure: PBEsol geometry

Computed properties:
The calculation puts the energy of formation from the pure elements at 0.28 eV/atom. The calculation puts the density of states at the Fermi level at 0.85 states/eV/atom.

Cell lengths 4.306, 4.577, 4.577 Å; angles 90.00, 90.00, 90.00 degrees
Last column: magnetic moment on the atom in μB.
Sites, in units of the cell vectors:
Ni (0.500, 0.000, 0.000)  0.77
Hf (0.000, 0.000, 0.500)  -0.03
Hf (0.000, 0.500, 0.000)  -0.03
Ga (0.500, 0.500, 0.500)  0.04
Co (0.000, 0.000, 0.000)  0.57

---

Compound: Ga2Co2Hg
Source: the Alexandria database
Functional: SCAN
Structure: PBEsol geometry

Computed properties:
The calculation puts the energy of formation from the pure elements at 0.34 eV/atom. The calculation puts the density of states at the Fermi level at 0.24 states/eV/atom.

Cell lengths 3.907, 3.907, 5.614 Å; angles 110.36, 110.36, 90.00 degrees
Sites, in units of the cell vectors:
Co (0.250, 0.750, 0.500)
Co (0.750, 0.250, 0.500)
Hg (0.000, 0.000, 0.000)
Ga (0.376, 0.376, 0.752)
Ga (0.624, 0.624, 0.248)

---

Compound: YGaCo2Hg
Source: the Alexandria database
Functional: SCAN
Structure: PBEsol geometry

Computed properties:
The calculation puts the energy of formation from the pure elements at 0.43 eV/atom. The calculation puts the density of states at the Fermi level at 0.59 states/eV/atom.

Cell lengths 4.412, 4.412, 5.178 Å; angles 90.00, 90.00, 90.00 degrees
Last column: magnetic moment on the atom in μB.
Sites, in units of the cell vectors:
Y (0.000, 0.000, 0.500)  -0.10
Co (0.000, 0.500, 0.000)  1.84
Co (0.500, 0.000, 0.000)  1.84
Hg (0.500, 0.500, 0.500)  -0.01
Ga (0.000, 0.000, 0.000)  -0.07

---

Compound: HoGaCo
Source: the Alexandria database
Functional: SCAN
Structure: PBEsol geometry

Computed properties:
The calculation puts the energy of formation from the pure elements at -0.50 eV/atom. The calculation puts the density of states at the Fermi level at 0.69 states/eV/atom.

Cell lengths 4.344, 6.679, 6.910 Å; angles 90.00, 90.00, 90.00 degrees
Sites, in units of the cell vectors:
Ho (0.250, 0.306, 0.525)
Ho (0.250, 0.194, 0.025)
Ho (0.750, 0.694, 0.475)
Ho (0.750, 0.806, 0.975)
Ga (0.250, 0.891, 0.695)
Ga (0.250, 0.609, 0.195)
Ga (0.750, 0.109, 0.305)
Ga (0.750, 0.391, 0.805)
Co (0.250, 0.938, 0.348)
Co (0.250, 0.562, 0.848)
Co (0.750, 0.062, 0.652)
Co (0.750, 0.438, 0.152)

---

Compound: HoGa5Co
Source: the Alexandria database
Functional: SCAN
Structure: PBEsol geometry

Computed properties:
The calculation puts the energy of formation from the pure elements at -0.51 eV/atom. The calculation puts the density of states at the Fermi level at 0.25 states/eV/atom.

Cell lengths 4.139, 4.139, 6.697 Å; angles 90.00, 90.00, 90.00 degrees
Sites, in units of the cell vectors:
Ho (0.000, 0.000, 0.000)
Ga (0.500, 0.500, 0.000)
Ga (0.000, 0.500, 0.310)
Ga (0.500, 0.000, 0.310)
Ga (0.000, 0.500, 0.690)
Ga (0.500, 0.000, 0.690)
Co (0.000, 0.000, 0.500)

---

Compound: Ho6GaCo2
Source: the Alexandria database
Functional: SCAN
Structure: PBEsol geometry

Computed properties:
The calculation puts the energy of formation from the pure elements at -0.29 eV/atom. The calculation puts the density of states at the Fermi level at 0.67 states/eV/atom.

Cell lengths 8.074, 8.074, 8.074 Å; angles 73.18, 70.36, 112.00 degrees
Sites, in units of the cell vectors:
Ho (0.302, 0.261, 0.436)
Ho (0.698, 0.739, 0.564)
Ho (0.811, 0.485, 0.326)
Ho (0.811, 0.138, 0.674)
Ho (0.189, 0.515, 0.674)
Ho (0.189, 0.862, 0.326)
Ho (0.698, 0.261, 0.041)
Ho (0.302, 0.739, 0.959)
Ho (0.038, 0.219, 0.181)
Ho (0.400, 0.219, 0.819)
Ho (0.600, 0.781, 0.181)
Ho (0.962, 0.781, 0.819)
Ga (0.500, 0.500, 0.000)
Ga (0.500, 0.000, 0.500)
Co (0.000, 0.115, 0.885)
Co (0.000, 0.885, 0.115)
Co (0.837, 0.500, 0.663)
Co (0.163, 0.500, 0.337)

---

Compound: Ho8Ga3Co
Source: the Alexandria database
Functional: SCAN
Structure: PBEsol geometry

Computed properties:
The calculation puts the energy of formation from the pure elements at -0.47 eV/atom. The calculation puts the density of states at the Fermi level at 0.11 states/eV/atom.

Cell lengths 6.733, 9.816, 9.816 Å; angles 120.00, 90.00, 90.00 degrees
Sites, in units of the cell vectors:
Ho (0.991, 0.173, 0.827)
Ho (0.991, 0.173, 0.346)
Ho (0.991, 0.654, 0.827)
Ho (0.491, 0.827, 0.173)
Ho (0.491, 0.827, 0.654)
Ho (0.491, 0.346, 0.173)
Ho (0.671, 0.333, 0.667)
Ho (0.171, 0.667, 0.333)
Ho (0.291, 0.464, 0.536)
Ho (0.291, 0.464, 0.929)
Ho (0.291, 0.071, 0.536)
Ho (0.791, 0.536, 0.464)
Ho (0.791, 0.536, 0.071)
Ho (0.791, 0.929, 0.464)
Ho (0.270, 0.000, 0.000)
Ho (0.770, 0.000, 0.000)
Ga (0.539, 0.164, 0.836)
Ga (0.539, 0.164, 0.327)
Ga (0.539, 0.673, 0.836)
Ga (0.039, 0.836, 0.164)
Ga (0.039, 0.836, 0.673)
Ga (0.039, 0.327, 0.164)
Co (0.058, 0.333, 0.667)
Co (0.558, 0.667, 0.333)

---

Compound: Ga2CoOsI
Source: the Alexandria database
Functional: SCAN
Structure: PBEsol geometry

Computed properties:
As for the uncorrected formation energy: 4.283 eV/f.u. The calculation puts the density of states at the Fermi level at 0.86 states/eV/atom.

Cell lengths 4.489, 4.489, 4.637 Å; angles 90.00, 90.00, 90.00 degrees
Sites, in units of the cell vectors:
I (0.500, 0.500, 0.500)
Co (0.000, 0.000, 0.000)
Os (0.000, 0.000, 0.500)
Ga (0.000, 0.500, 0.000)
Ga (0.500, 0.000, 0.000)

---

Compound: GaCoSb2I
Source: the Alexandria database
Functional: SCAN
Structure: PBEsol geometry

Computed properties:
As for the uncorrected formation energy: 2.311 eV/f.u. The calculation puts the density of states at the Fermi level at 0.82 states/eV/atom.

Cell lengths 4.795, 4.795, 5.633 Å; angles 90.00, 90.00, 90.00 degrees
Sites, in units of the cell vectors:
I (0.000, 0.000, 0.500)
Sb (0.000, 0.500, 0.000)
Sb (0.500, 0.000, 0.000)
Co (0.000, 0.000, 0.000)
Ga (0.500, 0.500, 0.500)

---

Compound: In2GaCoTe
Source: the Alexandria database
Functional: SCAN
Structure: PBEsol geometry

Computed properties:
As for the uncorrected formation energy: 3.996 eV/f.u. The calculation puts the density of states at the Fermi level at 0.63 states/eV/atom.

Cell lengths 4.545, 5.757, 5.757 Å; angles 90.00, 90.00, 90.00 degrees
Last column: magnetic moment on the atom in μB.
Sites, in units of the cell vectors:
Te (0.000, 0.000, 0.000)  -0.02
Co (0.500, 0.000, 0.000)  1.54
Ga (0.500, 0.500, 0.500)  -0.01
In (0.000, 0.000, 0.500)  0.00
In (0.000, 0.500, 0.000)  0.00

---

Compound: Ga2CoIr
Source: the Alexandria database
Functional: SCAN
Structure: PBEsol geometry

Computed properties:
The calculation puts the energy of formation from the pure elements at -0.37 eV/atom. The calculation puts the density of states at the Fermi level at 0.31 states/eV/atom.

Cell lengths 4.165, 4.165, 4.165 Å; angles 60.00, 60.00, 60.00 degrees
Last column: magnetic moment on the atom in μB.
Sites, in units of the cell vectors:
Ir (0.500, 0.500, 0.500)  -0.06
Co (0.000, 0.000, 0.000)  1.14
Ga (0.250, 0.250, 0.250)  -0.05
Ga (0.750, 0.750, 0.750)  -0.05

---

Compound: KGa3Co
Source: the Alexandria database
Functional: SCAN
Structure: PBEsol geometry

Computed properties:
The calculation puts the energy of formation from the pure elements at -0.16 eV/atom. The calculation puts the density of states at the Fermi level at 0.60 states/eV/atom.

Cell lengths 4.606, 4.606, 4.606 Å; angles 90.00, 90.00, 90.00 degrees
Sites, in units of the cell vectors:
K (0.500, 0.500, 0.500)
Co (0.000, 0.000, 0.000)
Ga (0.000, 0.500, 0.000)
Ga (0.000, 0.000, 0.500)
Ga (0.500, 0.000, 0.000)

---

Compound: La2Ga7Co
Source: the Alexandria database
Functional: SCAN
Structure: PBEsol geometry

Computed properties:
The calculation puts the energy of formation from the pure elements at -0.59 eV/atom. The calculation puts the density of states at the Fermi level at 0.25 states/eV/atom.

Cell lengths 4.218, 4.218, 10.530 Å; angles 90.00, 90.00, 90.00 degrees
Last column: magnetic moment on the atom in μB.
Sites, in units of the cell vectors:
La (0.500, 0.000, 0.756)  -0.01
La (0.000, 0.500, 0.244)  -0.01
Ga (0.000, 0.500, 0.879)  0.00
Ga (0.500, 0.000, 0.359)  0.00
Ga (0.500, 0.000, 0.121)  0.00
Ga (0.000, 0.500, 0.641)  0.00
Ga (0.000, 0.000, 0.500)  0.00
Ga (0.000, 0.000, 0.000)  0.00
Ga (0.500, 0.500, 0.500)  0.00
Co (0.500, 0.500, 0.000)  1.74

---

Compound: LaGa2Co3
Source: the Alexandria database
Functional: SCAN
Structure: PBEsol geometry

Computed properties:
The calculation puts the energy of formation from the pure elements at -0.26 eV/atom. The calculation puts the density of states at the Fermi level at 0.55 states/eV/atom.

Cell lengths 3.702, 5.276, 5.276 Å; angles 120.00, 90.00, 90.00 degrees
Last column: magnetic moment on the atom in μB.
Sites, in units of the cell vectors:
Co (0.500, 0.000, 0.500)  1.07
Co (0.500, 0.500, 0.500)  1.07
Co (0.500, 0.500, 0.000)  1.07
Ga (0.000, 0.667, 0.333)  -0.06
Ga (0.000, 0.333, 0.667)  -0.06
La (0.000, 0.000, 0.000)  -0.23